Entry 1:
Compound: K2LaPuO6
Source: Alexandria via LeMat-Bulk
Functional: GGA-PBE
Structure: optimized geometry

Cell and atoms, written as POSCAR:
```
K2LaPuO6
1.0
-2.341 -0.127 -5.777
-3.550 -4.887 1.546
-6.448 5.473 2.493
K La Pu O
4 2 2 12
direct
0.500 0.750 0.250
0.000 0.250 0.750
0.500 0.750 0.750
0.000 0.250 0.250
0.000 0.749 0.500
0.500 0.251 0.000
0.500 0.249 0.500
0.000 0.751 0.000
0.500 0.249 0.271
0.500 0.249 0.729
0.000 0.751 0.229
0.000 0.751 0.771
0.271 0.020 0.500
0.729 0.020 0.500
0.271 0.479 0.500
0.729 0.479 0.500
0.771 0.521 0.000
0.229 0.521 0.000
0.229 0.980 0.000
0.771 0.980 0.000
```

Results
Total magnetic moment   1.0 μB/f.u.
Formation energy (no corrections)   -2.547 eV per atom

Entry 2:
Compound: KLa2PuO6
Source: Alexandria via LeMat-Bulk
Functional: GGA-PBE
Structure: optimized geometry

Cell and atoms, written as POSCAR:
```
KLa2PuO6
1.0
-3.887 -1.220 -4.663
-4.612 -4.055 0.793
-6.050 2.222 0.350
K La Pu O
1 2 1 6
direct
0.791 0.791 0.626
0.531 0.531 0.407
0.017 0.017 0.950
0.321 0.321 0.037
0.580 0.246 0.222
0.246 0.951 0.222
0.951 0.580 0.222
0.365 0.686 0.776
0.686 0.173 0.776
0.173 0.365 0.776
```

Results
N(E_F)   1.055 states/eV per atom
Total magnetic moment   3.0 μB/f.u.
Formation energy (no corrections)   -2.946 eV per atom

no.,mass density (kg/m³)
1,5398
2,6113